Record 1
Entry from Alexandria: a relaxed Tb3Ho2TmBi6 crystal (PBE-GGA).

```
Tb3Ho2TmBi6
1.0
9.736 -2.234 0.000
9.736 2.234 0.000
-2.039 0.000 8.702
Tb Ho Tm Bi
3 2 1 6
Direct
0.000 0.000 0.000
0.333 0.333 0.667
0.667 0.667 0.333
0.333 0.333 0.167
0.667 0.667 0.833
0.000 0.000 0.500
0.165 0.165 0.584
0.167 0.167 0.082
0.500 0.500 0.253
0.500 0.500 0.747
0.833 0.833 0.918
0.835 0.835 0.416
```

***

Record 2
Entry from Alexandria: a relaxed TbHo3Tm2Bi6 crystal (PBE-GGA).

```
TbHo3Tm2Bi6
1.0
9.704 -2.226 0.000
9.704 2.226 0.000
-2.034 0.000 8.671
Tb Ho Tm Bi
1 3 2 6
Direct
0.000 0.000 0.000
0.000 0.000 0.500
0.334 0.334 0.167
0.666 0.666 0.833
0.333 0.333 0.666
0.667 0.667 0.334
0.167 0.167 0.085
0.167 0.167 0.582
0.499 0.499 0.748
0.501 0.501 0.252
0.833 0.833 0.418
0.833 0.833 0.915
```

***

Record 3
Entry from Alexandria: a relaxed TbHo2TmBi5 crystal (PBE-GGA).

```
TbHo2TmBi5
1.0
5.353 0.000 0.000
0.000 5.353 0.000
0.000 0.000 11.887
Tb Ho Tm Bi
1 2 1 5
Direct
0.000 0.000 0.000
0.500 0.500 0.265
0.500 0.500 0.735
0.000 0.000 0.500
0.000 0.000 0.247
0.000 0.000 0.753
0.000 0.500 0.500
0.500 0.000 0.500
0.500 0.500 0.000
```

***

Number 1: energy relative to the elements -0.8488 eV/atom. Number 2: energy relative to the elements -0.8251 eV/atom. Number 3: energy relative to the elements 0.0253 eV/atom.